A relaxed structure of BRhSe2, computed with PBE.

```
BRhSe2
1.0
5.4886 0.0000 0.0000
0.0000 5.4886 0.0000
2.7443 2.7443 4.5848
Se Rh B
4 2 2
direct
0.5741 0.1250 0.2500
0.3750 0.4259 0.7500
0.1759 0.6250 0.2500
0.8750 0.8241 0.7500
0.7500 0.2500 0.5000
0.0000 0.0000 0.0000
0.2500 0.7500 0.5000
0.5000 0.5000 0.0000
```

Fermi-level density of states, states/eV per cell: 1.41
Total magnetization, Bohr magnetons per cell: 0.00
Formation energy without anion corrections, kJ per mole of atoms: 8.9
V, Å³ per atom: 17.264
VASP energy, Ry per atom: -0.3791

=====

A relaxed structure of B3RhSe, computed with PBE.

```
B3RhSe
1.0
4.1369 0.0000 0.0000
0.0000 4.1369 0.0000
0.0000 0.0000 4.1369
B Se Rh
3 1 1
direct
0.0000 0.5000 0.0000
0.5000 0.0000 0.0000
0.0000 0.0000 0.5000
0.5000 0.5000 0.5000
0.0000 0.0000 0.0000
```

Fermi-level density of states, states/eV per cell: 2.43
Total magnetization, Bohr magnetons per cell: 0.00
Relative energy among the computed polymorphs, eV/atom: 0.000
Formation energy without anion corrections, kJ per mole of atoms: 116.6
V, Å³ per atom: 14.159
VASP energy, Ry per atom: -0.3650

=====

A relaxed structure of SrBRhSe2, computed with PBE.

```
SrBRhSe2
1.0
4.9012 0.0000 0.0000
0.0000 4.0538 0.0000
0.0000 0.0000 4.9012
Sr Se Rh B
1 2 1 1
direct
0.5000 0.5000 0.5000
0.5000 0.0000 0.0000
0.0000 0.0000 0.5000
0.0000 0.5000 0.0000
0.0000 0.0000 0.0000
```

Fermi-level density of states, states/eV per cell: 2.47
Total magnetization, Bohr magnetons per cell: 0.00
Formation energy without anion corrections, kJ per mole of atoms: -26.4
V, Å³ per atom: 19.476
VASP energy, Ry per atom: -0.3535

=====

A relaxed structure of TaBRhSe2, computed with PBE.

```
TaBRhSe2
1.0
-4.3052 0.3883 -1.9497
-2.0458 -1.6923 4.1803
-0.3385 4.4396 1.6316
Ta Se Rh B
1 2 1 1
direct
0.0000 0.5000 0.0000
0.5000 0.0000 0.0000
0.0000 0.0000 0.5000
0.0000 0.0000 0.0000
0.5000 0.5000 0.5000
```

Fermi-level density of states, states/eV per cell: 5.94
Total magnetization, Bohr magnetons per cell: 0.58
Formation energy without anion corrections, kJ per mole of atoms: 155.3
V, Å³ per atom: 22.272
VASP energy, Ry per atom: -0.3646

=====

A relaxed structure of Th3B2Rh9Se, computed with PBE.

```
Th3B2Rh9Se
1.0
5.8955 0.0000 0.0000
-2.9478 5.1057 0.0000
0.0000 0.0000 8.5696
Rh Th B Se
9 3 2 1
direct
0.8355 0.6711 0.7142
0.6711 0.8355 0.2858
0.8355 0.1645 0.7142
0.1645 0.3289 0.2858
0.5000 0.5000 0.0000
0.3289 0.1645 0.7142
0.1645 0.8355 0.2858
0.0000 0.5000 0.0000
0.5000 0.0000 0.0000
0.0000 0.0000 0.0000
0.3333 0.6667 0.6751
0.6667 0.3333 0.3249
0.6667 0.3333 0.8500
0.3333 0.6667 0.1500
0.0000 0.0000 0.5000
```

Fermi-level density of states, states/eV per cell: 7.52
Total magnetization, Bohr magnetons per cell: 0.00
Formation energy without anion corrections, kJ per mole of atoms: -72.8
V, Å³ per atom: 17.197
VASP energy, Ry per atom: -0.5712

=====

A relaxed structure of Zn2BRhSe, computed with PBE.

```
Zn2BRhSe
1.0
-3.8719 2.7853 -0.5083
-2.7608 -3.7978 0.2189
-0.2810 0.4789 4.7644
B Se Zn Rh
1 1 2 1
direct
0.5000 0.5000 0.5000
0.0000 0.5000 0.0000
0.5000 0.0000 0.0000
0.0000 0.0000 0.5000
0.0000 0.0000 0.0000
```

Fermi-level density of states, states/eV per cell: 2.92
Total magnetization, Bohr magnetons per cell: 0.00
Formation energy without anion corrections, kJ per mole of atoms: 98.3
V, Å³ per atom: 21.629
VASP energy, Ry per atom: -0.2200

=====

A relaxed structure of Si2B2Rh, computed with PBE.

```
Si2B2Rh
1.0
-4.2829 -3.6671 -0.7846
3.3021 -3.1234 -3.4274
1.0057 -1.7165 2.5332
Si B Rh
4 4 2
direct
0.1897 0.6897 0.5000
0.3103 0.1897 0.5000
0.6897 0.8103 0.5000
0.8103 0.3103 0.5000
0.6095 0.1095 0.0000
0.3905 0.8905 0.0000
0.1095 0.3905 0.0000
0.8905 0.6095 0.0000
0.5000 0.5000 0.0000
0.0000 0.0000 0.0000
```

Fermi-level density of states, states/eV per cell: 3.10
Total magnetization, Bohr magnetons per cell: 0.00
Relative energy among the computed polymorphs, eV/atom: 0.000
Formation energy without anion corrections, kJ per mole of atoms: 22.1
V, Å³ per atom: 10.438
VASP energy, Ry per atom: -0.4470

=====

A relaxed structure of SiB2Rh6, computed with PBE.

```
SiB2Rh6
1.0
5.2932 0.0000 -0.5961
0.0000 5.2631 0.0000
-1.5546 0.0000 8.4384
B Rh Si
4 12 2
direct
0.9854 0.3938 0.7951
0.0146 0.6062 0.2049
0.5146 0.8938 0.7049
0.4854 0.1062 0.2951
0.8027 0.6699 0.6109
0.1679 0.3123 0.0761
0.3321 0.8123 0.4239
0.6679 0.1877 0.5761
0.3246 0.5381 0.7018
0.6754 0.4619 0.2982
0.6973 0.1699 0.8891
0.1973 0.3301 0.3891
0.8246 0.9619 0.2018
0.1754 0.0381 0.7982
0.3027 0.8301 0.1109
0.8321 0.6877 0.9239
0.5000 0.5000 0.0000
0.0000 0.0000 0.5000
```

Fermi-level density of states, states/eV per cell: 15.56
Total magnetization, Bohr magnetons per cell: 0.00
Relative energy among the computed polymorphs, eV/atom: 0.132
Formation energy without anion corrections, kJ per mole of atoms: -23.0
V, Å³ per atom: 12.789
VASP energy, Ry per atom: -0.5310

=====

A relaxed structure of SiBRh4, computed with PBE.

```
SiBRh4
1.0
-5.1061 1.5676 0.4320
-2.4475 -4.0426 -2.8679
3.2553 -1.7405 5.8608
Si Rh B
2 8 2
direct
0.8778 0.1278 0.2556
0.1222 0.8722 0.7444
0.7118 0.5543 0.4610
0.9707 0.7223 0.9560
0.0293 0.2777 0.0440
0.5147 0.7664 0.0440
0.2492 0.9066 0.4610
0.4853 0.2336 0.9560
0.2882 0.4457 0.5390
0.7508 0.0934 0.5390
0.6591 0.4091 0.8182
0.3409 0.5909 0.1818
```

Fermi-level density of states, states/eV per cell: 7.87
Total magnetization, Bohr magnetons per cell: 0.00
Relative energy among the computed polymorphs, eV/atom: 0.000
Formation energy without anion corrections, kJ per mole of atoms: -43.4
V, Å³ per atom: 13.487
VASP energy, Ry per atom: -0.5415

=====

A relaxed structure of Si3BRh, computed with PBE.

```
Si3BRh
1.0
-3.1564 3.1178 1.1025
-2.7837 -1.6822 -3.2125
-1.7852 -2.8894 3.0599
B Si Rh
1 3 1
direct
0.5000 0.5000 0.5000
0.5000 0.0000 0.0000
0.0000 0.5000 0.0000
0.0000 0.0000 0.5000
0.0000 0.0000 0.0000
```

Fermi-level density of states, states/eV per cell: 3.66
Total magnetization, Bohr magnetons per cell: 0.00
Relative energy among the computed polymorphs, eV/atom: 0.624
Formation energy without anion corrections, kJ per mole of atoms: 112.8
V, Å³ per atom: 19.108
VASP energy, Ry per atom: -0.3595

=====

A relaxed structure of SiB2Rh8, computed with PBE.

```
SiB2Rh8
1.0
3.9745 0.0000 0.0000
0.0000 5.5064 -0.1072
-1.9872 -2.4921 6.4504
B Rh Si
2 8 1
direct
0.8306 0.3119 0.6611
0.1694 0.6881 0.3389
0.1916 0.3328 0.3831
0.0372 0.7857 0.0745
0.8084 0.6672 0.6169
0.4014 0.5089 0.8029
0.9628 0.2143 0.9255
0.3166 0.9936 0.6332
0.6834 0.0064 0.3668
0.5986 0.4911 0.1971
0.5000 0.0000 0.0000
```

Fermi-level density of states, states/eV per cell: 11.28
Total magnetization, Bohr magnetons per cell: 0.00
Relative energy among the computed polymorphs, eV/atom: 0.000
Formation energy without anion corrections, kJ per mole of atoms: -23.9
V, Å³ per atom: 12.737
VASP energy, Ry per atom: -0.5367

=====

A relaxed structure of SiBRh2, computed with PBE.

```
SiBRh2
1.0
5.0670 0.0000 0.0000
0.0000 5.0670 0.0000
2.5335 2.5335 4.8180
B Rh Si
2 4 2
direct
0.5000 0.5000 0.0000
0.2500 0.7500 0.5000
0.1768 0.6250 0.2500
0.3750 0.4268 0.7500
0.8750 0.8232 0.7500
0.5732 0.1250 0.2500
0.0000 0.0000 0.0000
0.7500 0.2500 0.5000
```

Fermi-level density of states, states/eV per cell: 4.76
Total magnetization, Bohr magnetons per cell: 0.00
Relative energy among the computed polymorphs, eV/atom: 0.044
Formation energy without anion corrections, kJ per mole of atoms: -10.0
V, Å³ per atom: 15.462
VASP energy, Ry per atom: -0.5001

=====

A relaxed structure of SiB3Rh6, computed with PBE.

```
SiB3Rh6
1.0
-2.6052 0.4350 1.9721
-5.3753 -1.4192 -6.7880
1.8019 -7.7613 4.0924
Rh B Si
12 6 2
direct
0.7500 0.2632 0.7026
0.2500 0.7368 0.2974
0.7500 0.5909 0.4504
0.7500 0.4510 0.1219
0.7500 0.1043 0.9433
0.2500 0.2280 0.2387
0.7500 0.7720 0.7613
0.2500 0.5490 0.8781
0.7500 0.0511 0.3906
0.2500 0.8957 0.0567
0.2500 0.4091 0.5496
0.2500 0.9489 0.6094
0.2500 0.1627 0.5333
0.2500 0.9266 0.8333
0.7500 0.5137 0.6883
0.7500 0.8373 0.4667
0.2500 0.4863 0.3117
0.7500 0.0734 0.1667
0.2500 0.2917 0.9214
0.7500 0.7083 0.0786
```

Fermi-level density of states, states/eV per cell: 13.89
Total magnetization, Bohr magnetons per cell: 0.00
Formation energy without anion corrections, kJ per mole of atoms: -39.5
V, Å³ per atom: 12.197
VASP energy, Ry per atom: -0.5414

=====

A relaxed structure of Si2B2Rh, computed with PBE.

```
Si2B2Rh
1.0
-0.8790 1.4807 3.0716
-3.4075 -0.5012 -0.7336
-1.9859 -3.3681 3.0738
B Si Rh
2 2 1
direct
0.4013 0.4013 0.1974
0.5987 0.5987 0.8026
0.7500 0.2500 0.5000
0.2500 0.7500 0.5000
0.0000 0.0000 0.0000
```

Fermi-level density of states, states/eV per cell: 2.13
Total magnetization, Bohr magnetons per cell: 0.00
Relative energy among the computed polymorphs, eV/atom: 0.234
Formation energy without anion corrections, kJ per mole of atoms: 44.7
V, Å³ per atom: 10.677
VASP energy, Ry per atom: -0.4297

=====

A relaxed structure of SiB2Rh2, computed with PBE.

```
SiB2Rh2
1.0
-0.5928 -2.3941 1.7320
0.6139 -1.8278 -2.3164
5.7707 -2.3159 1.3962
B Rh Si
2 2 1
direct
0.2500 0.7500 0.5000
0.7500 0.2500 0.5000
0.6178 0.6178 0.7644
0.3822 0.3822 0.2356
0.0000 0.0000 0.0000
```

Fermi-level density of states, states/eV per cell: 2.72
Total magnetization, Bohr magnetons per cell: 0.00
Formation energy without anion corrections, kJ per mole of atoms: -27.1
V, Å³ per atom: 10.911
VASP energy, Ry per atom: -0.5128

=====

A relaxed structure of Si3BRh, computed with PBE.

```
Si3BRh
1.0
4.0365 0.0000 0.0000
0.0000 4.0365 0.0000
0.0000 0.0000 4.0365
Si B Rh
3 1 1
direct
0.5000 0.0000 0.0000
0.0000 0.0000 0.5000
0.0000 0.5000 0.0000
0.0000 0.0000 0.0000
0.5000 0.5000 0.5000
```

Fermi-level density of states, states/eV per cell: 1.82
Total magnetization, Bohr magnetons per cell: 0.00
Relative energy among the computed polymorphs, eV/atom: 0.000
Formation energy without anion corrections, kJ per mole of atoms: 52.6
V, Å³ per atom: 13.153
VASP energy, Ry per atom: -0.4053

=====

A relaxed structure of SiBRh, computed with PBE.

```
SiBRh
1.0
-2.5578 -1.7609 3.3765
-0.2402 -3.7582 2.6195
-0.1215 -4.3607 11.1339
Si B Rh
2 2 2
direct
0.6897 0.6897 0.3857
0.0635 0.0635 0.9217
0.5925 0.5925 0.6272
0.1607 0.1607 0.6801
0.3200 0.3200 0.9505
0.4332 0.4332 0.3568
```

Fermi-level density of states, states/eV per cell: 1.85
Total magnetization, Bohr magnetons per cell: 0.00
Formation energy without anion corrections, kJ per mole of atoms: -22.4
V, Å³ per atom: 12.609
VASP energy, Ry per atom: -0.4937

=====

A relaxed structure of SiB2Rh8, computed with PBE.

```
SiB2Rh8
1.0
2.7013 0.0000 -0.8221
-1.1446 6.6216 -3.7609
0.9158 0.1435 7.8582
Rh Si B
8 1 2
direct
0.0000 0.2533 0.0000
0.3326 0.1496 0.6652
0.0000 0.7467 0.0000
0.6674 0.4844 0.3348
0.3326 0.5156 0.6652
0.6674 0.8504 0.3348
0.1552 0.1552 0.3104
0.8448 0.8448 0.6896
0.5000 0.0000 0.0000
0.7825 0.2826 0.5651
0.2175 0.7174 0.4349
```

Fermi-level density of states, states/eV per cell: 13.78
Total magnetization, Bohr magnetons per cell: 0.00
Relative energy among the computed polymorphs, eV/atom: 0.041
Formation energy without anion corrections, kJ per mole of atoms: -20.0
V, Å³ per atom: 13.376
VASP energy, Ry per atom: -0.5337

=====

A relaxed structure of SiB2Rh6, computed with PBE.

```
SiB2Rh6
1.0
6.0534 0.3149 -2.5692
-3.4170 5.4523 -1.3931
-0.0316 -0.3149 6.5760
Rh Si B
12 2 4
direct
0.3138 0.3222 0.6360
0.8108 0.5743 0.7634
0.1892 0.4257 0.2366
0.8966 0.1864 0.7102
0.1034 0.8136 0.2898
0.8108 0.0474 0.2366
0.1892 0.9526 0.7634
0.4762 0.1864 0.2898
0.3138 0.6778 0.9916
0.6862 0.6778 0.3640
0.6862 0.3222 0.0084
0.5238 0.8136 0.7102
0.0000 0.5000 0.5000
0.0000 0.0000 0.0000
0.3564 0.3564 0.0000
0.5000 0.1141 0.6141
0.5000 0.8859 0.3859
0.6436 0.6436 0.0000
```

Fermi-level density of states, states/eV per cell: 18.33
Total magnetization, Bohr magnetons per cell: 0.00
Relative energy among the computed polymorphs, eV/atom: 0.000
Formation energy without anion corrections, kJ per mole of atoms: -35.7
V, Å³ per atom: 12.126
VASP energy, Ry per atom: -0.5407

=====

A relaxed structure of SiB3Rh, computed with PBE.

```
SiB3Rh
1.0
-1.8218 3.5399 -0.8519
-1.7913 -1.7008 -3.2363
-3.1698 -1.0734 2.3186
Si Rh B
1 1 3
direct
0.5000 0.5000 0.5000
0.0000 0.0000 0.0000
0.5000 0.0000 0.0000
0.0000 0.5000 0.0000
0.0000 0.0000 0.5000
```

Fermi-level density of states, states/eV per cell: 2.62
Total magnetization, Bohr magnetons per cell: 0.00
Relative energy among the computed polymorphs, eV/atom: 0.000
Formation energy without anion corrections, kJ per mole of atoms: 127.8
V, Å³ per atom: 13.497
VASP energy, Ry per atom: -0.3849